Material: CoTe2As2O10
Method: DFT, GGA+U
State: relaxed

Summary:
V	11.1	Å³ per atom
total moment	3.0	μB per formula unit
uncorrected energy	-5.73	eV/atom
crystal system	triclinic
theoretical density	6.2	g cm⁻³

```
data_CoTe2As2O10
_chemical_formula_sum 'Co1 Te2 As2 O10'
_space_group_name_H-M_alt 'P 1'
_space_group_IT_number 1
_space_group_name_Hall 'P 1'
_cell_length_a 4.746
_cell_length_b 6.248
_cell_length_c 6.308
_cell_angle_alpha 87.41
_cell_angle_beta 68.58
_cell_angle_gamma 73.92
loop_
_atom_site_label
_atom_site_type_symbol
_atom_site_fract_x
_atom_site_fract_y
_atom_site_fract_z
Co1 Co 0.000 0.000 0.000
Te1 Te 0.250 0.410 0.193
Te2 Te 0.750 0.590 0.807
As1 As 0.340 0.882 0.400
As2 As 0.660 0.118 0.600
O1 O 0.015 0.035 0.308
O2 O 0.261 0.614 0.422
O3 O 0.291 0.657 0.958
O4 O 0.346 0.175 0.871
O5 O 0.400 0.174 0.428
O6 O 0.600 0.826 0.572
O7 O 0.654 0.825 0.129
O8 O 0.709 0.343 0.042
O9 O 0.739 0.386 0.578
O10 O 0.985 0.965 0.692
```